P) A plane-wave DFT calculation with PBE-GGA was carried out for a relaxed structure of Tb3Nd2Tm7.

Structure (POSCAR):
```
Tb3Nd2Tm7
1.0
6.292 0.000 0.000
0.000 3.500 0.000
-1.895 0.000 17.246
Tb Nd Tm
3 2 7
Direct
0.000 0.000 0.000
0.048 0.500 0.658
0.952 0.500 0.342
0.441 0.000 0.325
0.559 0.000 0.675
0.226 0.500 0.162
0.245 0.000 0.500
0.273 0.000 0.835
0.500 0.500 0.000
0.727 0.000 0.165
0.755 0.000 0.500
0.774 0.500 0.838
```

Calculated values
Space-group type ... P2/m

Q) A plane-wave DFT calculation with PBE-GGA was carried out for a relaxed structure of Tb3Nd2Tm7.

Structure (POSCAR):
```
Tb3Nd2Tm7
1.0
2.820 -18.804 0.000
2.820 18.804 0.000
0.000 0.000 3.593
Tb Nd Tm
3 2 7
Direct
0.000 0.000 0.000
0.186 0.814 0.000
0.814 0.186 0.000
0.353 0.647 0.500
0.647 0.353 0.500
0.089 0.911 0.500
0.270 0.730 0.500
0.430 0.570 0.000
0.500 0.500 0.500
0.570 0.430 0.000
0.730 0.270 0.500
0.911 0.089 0.500
```

Calculated values
Space-group type ... Cmmm

Relative energies, unit meV per atom: P) 0; Q) 26

P) A plane-wave DFT calculation with PBE-GGA was carried out for a relaxed structure of TbNd3Tm2.

Structure (POSCAR):
```
TbNd3Tm2
1.0
7.505 -5.002 0.000
7.505 5.002 0.000
0.000 0.000 5.639
Tb Nd Tm
2 6 4
Direct
0.227 0.773 0.750
0.773 0.227 0.250
0.125 0.389 0.250
0.389 0.125 0.750
0.412 0.588 0.250
0.588 0.412 0.750
0.611 0.875 0.250
0.875 0.611 0.750
0.008 0.203 0.750
0.203 0.008 0.250
0.797 0.992 0.750
0.992 0.797 0.250
```

Calculated values
Space-group type ... Cmcm

Q) A plane-wave DFT calculation with PBE-GGA was carried out for a relaxed structure of TbNd3Tm2.

Structure (POSCAR):
```
TbNd3Tm2
1.0
8.372 -2.866 0.000
8.372 2.866 0.000
-5.275 0.000 8.313
Tb Nd Tm
2 6 4
Direct
0.136 0.136 0.145
0.864 0.864 0.855
0.042 0.042 0.711
0.307 0.307 0.004
0.387 0.387 0.433
0.613 0.613 0.567
0.693 0.693 0.996
0.958 0.958 0.289
0.222 0.222 0.568
0.457 0.457 0.817
0.543 0.543 0.183
0.778 0.778 0.432
```

Calculated values
Space-group type ... C2/m

Relative energies, unit meV per atom: P) 190; Q) 0

P) A plane-wave DFT calculation with PBE-GGA was carried out for a relaxed structure of Tb12Nd6Tm.

Structure (POSCAR):
```
Tb12Nd6Tm
1.0
8.344 4.817 2.736
-8.344 4.817 2.736
0.000 -9.635 2.736
Tb Nd Tm
12 6 1
Direct
0.000 0.382 0.618
0.000 0.618 0.382
0.268 0.268 0.592
0.268 0.592 0.268
0.382 0.000 0.618
0.382 0.618 0.000
0.408 0.732 0.732
0.592 0.268 0.268
0.618 0.000 0.382
0.618 0.382 0.000
0.732 0.408 0.732
0.732 0.732 0.408
0.124 0.817 0.817
0.183 0.183 0.876
0.183 0.876 0.183
0.817 0.124 0.817
0.817 0.817 0.124
0.876 0.183 0.183
0.500 0.500 0.500
```

Calculated values
Space-group type ... R-3m

Q) A plane-wave DFT calculation with PBE-GGA was carried out for a relaxed structure of Tb12Nd6Tm.

Structure (POSCAR):
```
Tb12Nd6Tm
1.0
5.576 3.219 5.892
-5.576 3.219 5.892
0.000 -6.439 5.892
Tb Nd Tm
12 6 1
Direct
0.137 0.137 0.488
0.137 0.488 0.137
0.196 0.514 0.514
0.486 0.486 0.804
0.486 0.804 0.486
0.488 0.137 0.137
0.512 0.863 0.863
0.514 0.196 0.514
0.514 0.514 0.196
0.804 0.486 0.486
0.863 0.512 0.863
0.863 0.863 0.512
0.162 0.768 0.768
0.232 0.232 0.838
0.232 0.838 0.232
0.768 0.162 0.768
0.768 0.768 0.162
0.838 0.232 0.232
0.000 0.000 0.000
```

Calculated values
Space-group type ... R-3m

Relative energies, unit meV per atom: P) 210; Q) 0

P) A plane-wave DFT calculation with PBE-GGA was carried out for a relaxed structure of Tb9Nd2Tm.

Structure (POSCAR):
```
Tb9Nd2Tm
1.0
11.303 0.000 0.000
-5.651 9.789 0.000
0.000 0.000 3.494
Tb Nd Tm
9 2 1
Direct
0.000 0.500 0.000
0.172 0.345 0.500
0.172 0.828 0.500
0.345 0.172 0.500
0.500 0.000 0.000
0.500 0.500 0.000
0.655 0.828 0.500
0.828 0.172 0.500
0.828 0.655 0.500
0.333 0.667 0.000
0.667 0.333 0.000
0.000 0.000 0.000
```

Calculated values
Space-group type ... P6/mmm

Q) A plane-wave DFT calculation with PBE-GGA was carried out for a relaxed structure of Tb9Nd2Tm.

Structure (POSCAR):
```
Tb9Nd2Tm
1.0
5.056 0.000 0.000
0.000 5.056 0.000
0.000 0.000 15.157
Tb Nd Tm
9 2 1
Direct
0.000 0.000 0.000
0.000 0.000 0.332
0.000 0.000 0.668
0.000 0.500 0.164
0.000 0.500 0.500
0.000 0.500 0.836
0.500 0.000 0.164
0.500 0.000 0.500
0.500 0.000 0.836
0.500 0.500 0.332
0.500 0.500 0.668
0.500 0.500 0.000
```

Calculated values
Space-group type ... P4/mmm

Relative energies, unit meV per atom: P) 45; Q) 0

P) A plane-wave DFT calculation with PBE-GGA was carried out for a relaxed structure of TbNdTm2.

Structure (POSCAR):
```
TbNdTm2
1.0
5.043 0.000 0.000
0.000 5.043 0.000
0.000 0.000 4.991
Tb Nd Tm
1 1 2
Direct
0.000 0.000 0.000
0.500 0.500 0.000
0.000 0.500 0.500
0.500 0.000 0.500
```

Calculated values
Space-group type ... P4/mmm

Q) A plane-wave DFT calculation with PBE-GGA was carried out for a relaxed structure of TbNdTm2.

Structure (POSCAR):
```
TbNdTm2
1.0
0.000 4.006 4.006
4.006 0.000 4.006
4.006 4.006 0.000
Tb Nd Tm
1 1 2
Direct
0.000 0.000 0.000
0.500 0.500 0.500
0.250 0.250 0.250
0.750 0.750 0.750
```

Calculated values
Space-group type ... Fm-3m

Relative energies, unit meV per atom: P) 0; Q) 85

P) A plane-wave DFT calculation with PBE-GGA was carried out for a relaxed structure of Tb2NdTm4.

Structure (POSCAR):
```
Tb2NdTm4
1.0
6.652 0.000 0.000
3.308 8.302 0.000
3.320 0.664 8.279
Tb Nd Tm
4 2 8
Direct
0.000 0.000 0.000
0.000 0.001 0.501
0.000 0.501 0.000
0.500 0.000 0.000
0.223 0.527 0.527
0.777 0.473 0.474
0.262 0.261 0.261
0.283 0.740 0.740
0.364 0.645 0.127
0.365 0.127 0.645
0.635 0.873 0.355
0.637 0.355 0.873
0.717 0.261 0.260
0.738 0.740 0.740
```

Calculated values
Space-group type ... P1

Q) A plane-wave DFT calculation with PBE-GGA was carried out for a relaxed structure of Tb2NdTm4.

Structure (POSCAR):
```
Tb2NdTm4
1.0
8.272 -1.754 0.000
8.272 1.754 0.000
-4.296 0.000 7.563
Tb Nd Tm
2 1 4
Direct
0.070 0.070 0.429
0.930 0.930 0.571
0.000 0.000 0.000
0.294 0.294 0.706
0.356 0.356 0.163
0.644 0.644 0.837
0.706 0.706 0.294
```

Calculated values
Space-group type ... C2/m

Relative energies, unit meV per atom: P) 236; Q) 0

P) A plane-wave DFT calculation with PBE-GGA was carried out for a relaxed structure of Tb7Nd2Tm.

Structure (POSCAR):
```
Tb7Nd2Tm
1.0
6.194 0.000 0.000
-1.027 6.109 0.000
-2.069 -3.484 8.548
Tb Nd Tm
7 2 1
Direct
0.000 0.000 0.000
0.000 0.200 0.401
0.000 0.800 0.599
0.498 0.199 0.899
0.500 0.400 0.301
0.500 0.600 0.699
0.502 0.801 0.101
0.002 0.600 0.201
0.998 0.400 0.799
0.500 0.000 0.500
```

Calculated values
Space-group type ... P-1

Q) A plane-wave DFT calculation with PBE-GGA was carried out for a relaxed structure of Tb7Nd2Tm.

Structure (POSCAR):
```
Tb7Nd2Tm
1.0
3.270 -14.456 0.000
3.270 14.456 0.000
0.000 0.000 3.506
Tb Nd Tm
7 2 1
Direct
0.000 0.000 0.000
0.158 0.352 0.000
0.315 0.685 0.500
0.352 0.158 0.000
0.648 0.842 0.000
0.685 0.315 0.500
0.842 0.648 0.000
0.207 0.793 0.000
0.793 0.207 0.000
0.500 0.500 0.500
```

Calculated values
Space-group type ... Cmmm

Relative energies, unit meV per atom: P) 0; Q) 136

P) A plane-wave DFT calculation with PBE-GGA was carried out for a relaxed structure of Tb3NdTm2.

Structure (POSCAR):
```
Tb3NdTm2
1.0
8.710 -3.555 0.000
8.710 3.555 0.000
-0.014 0.000 6.155
Tb Nd Tm
6 2 4
Direct
0.124 0.876 0.750
0.206 0.457 0.585
0.457 0.206 0.085
0.543 0.794 0.915
0.794 0.543 0.415
0.876 0.124 0.250
0.374 0.626 0.250
0.626 0.374 0.750
0.043 0.292 0.917
0.292 0.043 0.417
0.708 0.957 0.583
0.957 0.708 0.083
```

Calculated values
Space-group type ... C2/c

Q) A plane-wave DFT calculation with PBE-GGA was carried out for a relaxed structure of Tb3NdTm2.

Structure (POSCAR):
```
Tb3NdTm2
1.0
7.161 0.000 0.000
3.573 6.211 0.000
1.793 1.046 8.582
Tb Nd Tm
6 2 4
Direct
0.139 0.140 0.164
0.249 0.251 0.501
0.361 0.860 0.836
0.639 0.140 0.164
0.751 0.749 0.499
0.861 0.860 0.836
0.251 0.749 0.498
0.749 0.251 0.502
0.140 0.637 0.164
0.360 0.362 0.836
0.640 0.638 0.164
0.860 0.363 0.836
```

Calculated values
Space-group type ... P-1

Relative energies, unit meV per atom: P) 24; Q) 0

P) A plane-wave DFT calculation with PBE-GGA was carried out for a relaxed structure of Tb6NdTm8.

Structure (POSCAR):
```
Tb6NdTm8
1.0
4.486 2.590 6.819
-4.486 2.590 6.819
0.000 -5.180 6.819
Tb Nd Tm
6 1 8
Direct
0.038 0.610 0.725
0.275 0.962 0.390
0.390 0.275 0.962
0.610 0.725 0.038
0.725 0.038 0.610
0.962 0.390 0.275
0.500 0.500 0.500
0.076 0.076 0.076
0.220 0.611 0.243
0.243 0.220 0.611
0.389 0.757 0.780
0.611 0.243 0.220
0.757 0.780 0.389
0.780 0.389 0.757
0.924 0.924 0.924
```

Calculated values
Space-group type ... R-3

Q) A plane-wave DFT calculation with PBE-GGA was carried out for a relaxed structure of Tb6NdTm8.

Structure (POSCAR):
```
Tb6NdTm8
1.0
9.390 0.000 0.000
-4.695 8.132 0.000
0.000 0.000 6.421
Tb Nd Tm
6 1 8
Direct
0.100 0.418 0.088
0.318 0.900 0.088
0.418 0.318 0.912
0.582 0.682 0.088
0.682 0.100 0.912
0.900 0.582 0.912
0.000 0.000 0.000
0.024 0.686 0.408
0.314 0.338 0.408
0.333 0.667 0.655
0.338 0.024 0.592
0.662 0.976 0.408
0.667 0.333 0.345
0.686 0.662 0.592
0.976 0.314 0.592
```

Calculated values
Space-group type ... P-3

Relative energies, unit meV per atom: P) 0; Q) 97

P) A plane-wave DFT calculation with PBE-GGA was carried out for a relaxed structure of TbNd8Tm6.

Structure (POSCAR):
```
TbNd8Tm6
1.0
9.414 0.000 0.000
-4.707 8.153 0.000
0.000 0.000 6.530
Tb Nd Tm
1 8 6
Direct
0.000 0.000 0.000
0.039 0.751 0.669
0.249 0.288 0.669
0.288 0.039 0.331
0.333 0.667 0.622
0.667 0.333 0.378
0.712 0.961 0.669
0.751 0.712 0.331
0.961 0.249 0.331
0.096 0.657 0.158
0.343 0.440 0.158
0.440 0.096 0.842
0.560 0.904 0.158
0.657 0.560 0.842
0.904 0.343 0.842
```

Calculated values
Space-group type ... P-3

Q) A plane-wave DFT calculation with PBE-GGA was carried out for a relaxed structure of TbNd8Tm6.

Structure (POSCAR):
```
TbNd8Tm6
1.0
4.538 2.620 6.987
-4.538 2.620 6.987
0.000 -5.240 6.987
Tb Nd Tm
1 8 6
Direct
0.000 0.000 0.000
0.113 0.754 0.715
0.246 0.285 0.887
0.285 0.887 0.246
0.422 0.422 0.422
0.578 0.578 0.578
0.715 0.113 0.754
0.754 0.715 0.113
0.887 0.246 0.285
0.095 0.251 0.538
0.251 0.538 0.095
0.462 0.905 0.749
0.538 0.095 0.251
0.749 0.462 0.905
0.905 0.749 0.462
```

Calculated values
Space-group type ... R-3

Relative energies, unit meV per atom: P) 48; Q) 0